Entry 1:
The following is a DFT calculation (PBE-GGA) of an optimized crystal structure of Mg2POs.

```
Mg2POs
1.0
3.086 0.000 0.000
-1.543 2.673 0.000
0.000 0.000 25.861
Mg P Os
6 3 3
direct
0.000 0.000 0.000
0.000 0.000 0.229
0.333 0.667 0.667
0.333 0.667 0.896
0.667 0.333 0.333
0.667 0.333 0.562
0.000 0.000 0.753
0.333 0.667 0.420
0.667 0.333 0.086
0.000 0.000 0.477
0.333 0.667 0.144
0.667 0.333 0.811
```

## Properties
space-group type: R3m, No. 160
magnetization: 0.000 μB per formula unit
energy: -5.03 eV per atom
ΔH_f (0 K): -0.30 eV per formula unit

---

Entry 2:
The following is a DFT calculation (PBE-GGA) of an optimized crystal structure of CuRe2P.

```
CuRe2P
1.0
2.875 0.000 0.000
0.000 3.746 0.000
-1.066 0.000 5.132
Cu Re P
1 2 1
direct
0.000 0.000 0.000
0.350 0.500 0.738
0.650 0.500 0.262
0.000 0.000 0.500
```

## Properties
space-group type: P2/m, No. 10
magnetization: 0.000 μB per formula unit
energy: -8.37 eV per atom
ΔH_f (0 K): 0.93 eV per formula unit

---

Entry 3:
The following is a DFT calculation (PBE-GGA) of an optimized crystal structure of YZrSbO6.

```
YZrSbO6
1.0
5.424 0.000 0.000
-2.712 4.698 0.000
0.000 0.000 9.720
Y Zr Sb O
2 2 2 12
direct
0.000 0.000 0.000
0.000 0.000 0.500
0.333 0.667 0.250
0.667 0.333 0.750
0.333 0.667 0.750
0.667 0.333 0.250
0.016 0.362 0.636
0.016 0.654 0.864
0.346 0.362 0.864
0.346 0.984 0.636
0.362 0.016 0.136
0.362 0.346 0.364
0.638 0.654 0.636
0.638 0.984 0.864
0.654 0.016 0.364
0.654 0.638 0.136
0.984 0.346 0.136
0.984 0.638 0.364
```

## Properties
space-group type: P-31c, No. 163
magnetization: 0.000 μB per formula unit
energy: -8.07 eV per atom

---

Entry 4:
The following is a DFT calculation (PBE-GGA) of an optimized crystal structure of SrMgCd2Pd.

```
SrMgCd2Pd
1.0
4.163 0.000 0.000
0.000 4.624 0.000
0.000 0.000 13.057
Sr Mg Cd Pd
2 2 4 2
direct
0.000 0.000 0.000
0.500 0.500 0.500
0.000 0.500 0.773
0.500 0.000 0.273
0.000 0.000 0.619
0.000 0.500 0.281
0.500 0.000 0.781
0.500 0.500 0.119
0.000 0.000 0.407
0.500 0.500 0.907
```

## Properties
energy above the lowest structure with this stoichiometry: 0 meV per atom
space-group type: Imm2, No. 44
magnetization: 0.000 μB per formula unit
energy: -2.47 eV per atom
ΔH_f (0 K): -2.05 eV per formula unit

---

Entry 5:
The following is a DFT calculation (PBE-GGA) of an optimized crystal structure of FeW3.

```
FeW3
1.0
8.854 0.000 0.000
-4.427 7.668 0.000
0.000 0.000 2.695
Fe W
3 9
direct
0.000 0.000 0.000
0.333 0.667 0.667
0.667 0.333 0.333
0.000 0.500 0.000
0.167 0.333 0.333
0.167 0.833 0.333
0.333 0.167 0.667
0.500 0.000 0.000
0.500 0.500 0.000
0.667 0.833 0.333
0.833 0.167 0.667
0.833 0.667 0.667
```

## Properties
space-group type: R-3m, No. 166
magnetization: 2.410 μB per formula unit
energy: -11.69 eV per atom
ΔH_f (0 K): 0.55 eV per formula unit

---

Entry 6:
The following is a DFT calculation (PBE-GGA) of an optimized crystal structure of MnIrOs2.

```
MnIrOs2
1.0
4.335 0.000 0.000
-2.167 3.754 0.000
0.000 0.000 11.332
Mn Ir Os
3 3 6
direct
0.000 0.000 0.000
0.333 0.667 0.667
0.667 0.333 0.333
0.000 0.000 0.778
0.333 0.667 0.445
0.667 0.333 0.111
0.000 0.000 0.224
0.000 0.000 0.443
0.333 0.667 0.110
0.333 0.667 0.890
0.667 0.333 0.557
0.667 0.333 0.777
```

## Properties
energy above the lowest structure with this stoichiometry: 438 meV per atom
space-group type: R3m, No. 160
magnetization: 2.832 μB per formula unit
energy: -9.69 eV per atom
ΔH_f (0 K): 1.74 eV per formula unit

---

> What is the magnetization in the second record?

0.000 μB per formula unit

---

> Which formula does entry 5 have?

FeW3

---

> Look up the energy of the fourth one.

-2.47 eV per atom

---

> What is the formula in the fourth record?

SrMgCd2Pd